# 1
The following is a DFT calculation (PBE) of a relaxed structure of Na2SnSbF.

Summary:
Energy relative to the elements, uncorrected, eV/atom: -1.05
Crystal system: tetragonal
Total DFT energy (no corrections), Ha/atom: -0.13139
Magnetization, μB/f.u.: 0.0
D(E_F), states/eV/atom: 0.103

The structure in extended XYZ format:
```
5
Lattice="-4.2851 -0.1858 -1.7217 -1.6111 -1.2569 4.1455 -0.7307 5.1144 1.2666" Properties=species:S:1:pos:R:3 pbc="T T T"
Sb -3.3135 1.8358 1.8452
F 0.0000 0.0000 0.0000
Sn -0.3654 2.5572 0.6333
Na -0.8056 -0.6284 2.0728
Na -2.1426 -0.0929 -0.8609
```


# 2
The following is a DFT calculation (PBE) of a relaxed structure of LiZrScTl.

Summary:
Crystal system: cubic
Total DFT energy (no corrections), Ha/atom: -0.17719
Magnetization, μB/f.u.: 0.0
D(E_F), states/eV/atom: 1.011
Formation enthalpy at 0 K, meV/atom: -32

The structure in extended XYZ format:
```
4
Lattice="4.9528 0.0000 0.0000 2.4764 4.2893 0.0000 2.4764 1.4298 4.0440" Properties=species:S:1:pos:R:3 pbc="T T T"
Sc 2.4764 1.4298 1.0110
Tl 4.9528 2.8595 2.0220
Zr 7.4292 4.2893 3.0330
Li 0.0000 0.0000 0.0000
```


# 3
The following is a DFT calculation (PBE) of a relaxed structure of Ac3Pm2PuN6.

Summary:
Energy relative to the elements, uncorrected, eV/atom: -1.18
Crystal system: monoclinic
Total DFT energy (no corrections), Ha/atom: -0.30690
Magnetization, μB/f.u.: 4.0
D(E_F), states/eV/atom: 0.613

The structure in extended XYZ format:
```
12
Lattice="-4.0513 0.0005 4.9487 3.5566 -5.1795 -1.1941 4.6001 3.9327 2.3809" Properties=species:S:1:pos:R:3 pbc="T T T"
Ac 4.5845 -2.3469 1.0235
Ac -0.4791 1.1006 5.1120
Ac 2.0527 -0.6232 3.0678
Pm 1.0169 -3.4503 0.8565
Pm -1.5116 -1.7287 2.8981
Pu 0.0000 0.0000 0.0000
N 2.0641 -0.1303 5.7228
N 0.6799 -3.0371 3.4031
N 2.0413 -1.1161 0.4127
N 4.3973 -1.7188 3.8389
N 3.4255 1.7908 2.7324
N -0.2919 0.4725 2.2966
```


- The lowest total DFT energy (no corrections) belongs to which entry?
  Ac3Pm2PuN6


- What is the magnetization in the first record?
  0.0 μB/f.u.


- Among the records above, which one has the lowest total DFT energy (no corrections)?
  Ac3Pm2PuN6